# 1
! Rb2InF | Alexandria via LeMat-Bulk | PBE | optimized geometry; values from VASP
! ΔE to the lowest computed polymorph   0.00 eV per formula unit
! Raw formation energy   -1.11 eV/atom
&SYSTEM
  ibrav = 0, nat = 8, ntyp = 3
/
ATOMIC_SPECIES
In 114.82 In.upf
Rb 85.47 Rb.upf
F 19.00 F.upf
CELL_PARAMETERS angstrom
-1.582 7.328 3.509
1.775 -3.177 7.434
4.828 3.372 4.896
ATOMIC_POSITIONS crystal
In 0.000 0.000 0.000
Rb 0.375 0.495 0.750
F 0.250 0.750 0.500
F 0.500 0.500 0.000
Rb 0.875 0.755 0.750
In 0.750 0.250 0.500
Rb 0.505 0.125 0.250
Rb 0.245 0.625 0.250

# 2
! Mg2Ta2Fe | Alexandria via LeMat-Bulk | PBE | optimized geometry; values from VASP
! ΔE to the lowest computed polymorph   0.00 eV per formula unit
! Energy relative to the elements   0.7821 eV per atom
&SYSTEM
  ibrav = 0, nat = 10, ntyp = 3
/
ATOMIC_SPECIES
Ta 180.95 Ta.upf
Mg 24.30 Mg.upf
Fe 55.84 Fe.upf
CELL_PARAMETERS angstrom
6.438 0.000 0.000
0.000 6.438 0.000
0.000 0.000 4.216
ATOMIC_POSITIONS crystal
Ta 0.338 0.162 0.500
Mg 0.858 0.642 0.000
Ta 0.662 0.838 0.500
Fe 0.000 0.000 0.000
Fe 0.500 0.500 0.000
Mg 0.642 0.142 0.000
Mg 0.358 0.858 0.000
Ta 0.162 0.662 0.500
Ta 0.838 0.338 0.500
Mg 0.142 0.358 0.000

# 3
! La2TmGa3Pd4 | Alexandria via LeMat-Bulk | PBE | optimized geometry; values from VASP
! Energy relative to the elements   -0.8311 eV per atom
&SYSTEM
  ibrav = 0, nat = 10, ntyp = 4
/
ATOMIC_SPECIES
La 138.91 La.upf
Pd 106.42 Pd.upf
Ga 69.72 Ga.upf
Tm 168.93 Tm.upf
CELL_PARAMETERS angstrom
-1.208 2.611 -3.242
-4.100 -1.332 0.454
-1.878 8.303 7.387
ATOMIC_POSITIONS crystal
La 0.500 0.000 0.230
Pd 0.000 0.500 0.346
Ga 0.000 0.500 0.120
Ga 0.000 0.000 0.500
Pd 0.000 0.000 0.000
Ga 0.500 0.000 0.880
Pd 0.500 0.000 0.654
Tm 0.500 0.500 0.500
Pd 0.500 0.500 0.000
La 0.000 0.500 0.770

# 4
! MgNbCr | Alexandria via LeMat-Bulk | PBE | optimized geometry; values from VASP
! ΔE to the lowest computed polymorph   0.09 eV per formula unit
! Energy relative to the elements   0.2703 eV per atom
&SYSTEM
  ibrav = 0, nat = 12, ntyp = 3
/
ATOMIC_SPECIES
Cr 52.00 Cr.upf
Nb 92.91 Nb.upf
Mg 24.30 Mg.upf
CELL_PARAMETERS angstrom
-4.771 4.840 -12.342
3.883 -1.017 -1.900
-1.124 -2.944 -0.720
ATOMIC_POSITIONS crystal
Cr 0.820 0.000 0.500
Nb 0.326 0.000 0.000
Cr 0.680 0.500 0.500
Mg 0.500 0.500 0.000
Mg 0.500 0.000 0.500
Nb 0.826 0.500 0.000
Cr 0.180 0.000 0.500
Cr 0.320 0.500 0.500
Mg 0.000 0.500 0.500
Nb 0.674 0.000 0.000
Nb 0.174 0.500 0.000
Mg 0.000 0.000 0.000

Ordered total magnetic moment results: 0.000; 1.772; 0.000; 1.214; unit μB per formula unit.